The following is a DFT calculation (PBEsol) of crystalline Tl2IrSeN at its relaxed geometry.

* Fermi-level density of states: 0.961 states/eV/atom
* ΔE_f (raw): 0.413 eV per atom
* symmetry: No. 123
* electronic total energy: -5.079 eV per atom

a = 5.5050 Å, b = 5.5050 Å, c = 3.6451 Å
α = 90.00°, β = 90.00°, γ = 90.00°
Atoms (fractional coordinates):
Tl 0.0000 0.5000 0.0000
Tl 0.5000 0.0000 0.0000
Ir 0.0000 0.0000 0.5000
Se 0.5000 0.5000 0.5000
N 0.0000 0.0000 0.0000